Material: Rb2In4Hg9
Method: DFT, PBE-GGA
State: relaxed

Properties
Total DFT energy (no corrections)   -1.13 eV per atom
Total magnetic moment   0.000 μB/atom
Volume   475.0 Å³ per cell

a = 5.1417 Å, b = 5.1417 Å, c = 20.7485 Å
α = 90.00°, β = 90.00°, γ = 120.00°
Space group P-3m1 (No. 164)
Asymmetric unit:
Rb: 0.3333 0.6667 0.2613 x2
In: 0.3333 0.6667 0.5939 x2
In: 0.3333 0.6667 0.8952 x2
Hg: 0.0000 0.0000 0.0000 x1
Hg: 0.0000 0.0000 0.1635 x2
Hg: 0.0000 0.0000 0.3651 x2
Hg: 0.3333 0.6667 0.0595 x2
Hg: 0.3333 0.6667 0.4499 x2

***

Material: ScNi3Sn
Method: DFT, PBE-GGA
State: relaxed

Properties
Total DFT energy (no corrections)   -5.01 eV per atom
Total magnetic moment   0.000 μB/atom
Volume   98.3 Å³ per cell

a = 4.615 Å, b = 4.615 Å, c = 4.615 Å
α = 90.00°, β = 90.00°, γ = 90.00°
Space group Pm-3m (No. 221)
Asymmetric unit:
Sc: 0.000 0.000 0.000 x1
Ni: 0.000 0.500 0.500 x3
Sn: 0.500 0.500 0.500 x1

***

Material: Rb3NaAu3
Method: DFT, PBE-GGA
State: relaxed

Properties
Total DFT energy (no corrections)   -2.28 eV per atom
Total magnetic moment   0.000 μB/atom
Volume   1010.0 Å³ per cell

a = 12.707 Å, b = 5.035 Å, c = 17.002 Å
α = 90.00°, β = 111.80°, γ = 90.00°
Space group C2/m (No. 12)
Asymmetric unit:
Rb: 0.023 0.000 0.276 x4
Rb: 0.142 0.500 0.127 x4
Rb: 0.178 0.000 0.574 x4
Na: 0.179 0.500 0.914 x4
Au: 0.024 0.500 0.422 x4
Au: 0.077 0.000 0.957 x4
Au: 0.181 0.500 0.731 x4

***

Material: EuLu2Te
Method: DFT, PBE-GGA
State: relaxed

Properties
Total magnetic moment   1.961 μB/atom
E_form (uncorrected)   -0.23 eV per atom
Volume   413.2 Å³ per cell

a = 3.7955 Å, b = 3.7955 Å, c = 33.1244 Å
α = 90.00°, β = 90.00°, γ = 120.00°
Space group R-3m (No. 166, hexagonal axes)
Asymmetric unit:
Eu: 0.0000 0.0000 0.0000 x3
Lu: 0.0000 0.0000 0.1046 x6
Te: 0.0000 0.0000 0.5000 x3